1.
## Li6MgIr2 (GGA-PBE)

Data for a relaxed Li6MgIr2 crystal.

The structure belongs to space group R-3m (No. 166, hexagonal axes); the cell edges are 7.6085, 7.6085 and 7.8051 Å and the angles 90.00°, 90.00° and 120.00°. The distinct sites, in fractional coordinates, are Li at (0.0000, 0.3251, 0.0000), Mg at (0.0000, 0.0000, 0.5000) and Ir at (0.0000, 0.0000, 0.1632).

The calculation puts the density of states at the Fermi level at 3.1 states/eV/f.u. The formation enthalpy at 0 K comes out at -0.096 eV per atom. The calculation puts the mass density at 5.73 g cm⁻³.

2.
## Li8MgIr6 (GGA-PBE)

Data for a relaxed Li8MgIr6 crystal.

The structure belongs to space group R-3 (No. 148, hexagonal axes); the cell edges are 6.9632, 6.9632 and 15.3942 Å and the angles 90.00°, 90.00° and 120.00°. The distinct sites, in fractional coordinates, are Li at (0.0000, 0.0000, 0.0732), Li at (0.0469, 0.2414, 0.6656), Mg at (0.0000, 0.0000, 0.5000) and Ir at (0.0360, 0.2409, 0.1916).

The calculation puts the density of states at the Fermi level at 1.3 states/eV/f.u. The formation enthalpy at 0 K comes out at -0.102 eV per atom. The calculation puts the mass density at 9.50 g cm⁻³.